Density functional theory data (PBE) for an optimized crystal structure of ScTaTe2.

Its volume is 21.3 Å³/atom. The density of states at the Fermi level is 0.061 states/eV/atom. Its offset from the most stable computed form is 137 meV per atom. The value obtained for the size of the total moment is 0.00 μB per formula unit. The calculation puts the total energy at -6.520 eV/atom. The calculation puts the uncorrected formation energy at -1.61 eV per formula unit.

Geometry as extended XYZ:
```
4
Lattice="0.0000 3.4899 3.4899 3.4899 0.0000 3.4899 3.4899 3.4899 0.0000" Properties=species:S:1:pos:R:3 pbc="T T T"
Sc 0.0000 0.0000 0.0000
Ta 3.4899 3.4899 3.4899
Te 1.7450 1.7450 1.7450
Te 5.2349 5.2349 5.2349
```